Below is a relaxed Mn2NbTlSi crystal, with properties calculated at the PBE-GGA level.

- Total DFT energy (no corrections): -5.544 eV per atom
- DOS(E_F): 4.050 states/eV per cell

a b c (Å): 4.9007 5.2751 4.9007
angles (deg): 90.00 90.00 90.00
Each line ends with the local moment (μB).
Fractional positions:
Si1 0.5000 0.5000 0.5000  -0.03
Nb1 0.0000 0.5000 0.0000  -0.81
Mn1 0.0000 0.0000 0.5000  4.11
Mn2 0.5000 0.0000 0.0000  3.80
Tl1 0.0000 0.0000 0.0000  -0.05



Below is a relaxed ReNiW2 crystal, with properties calculated at the PBE-GGA level.

- Calculated formation energy: 215.8 meV/atom
- Total DFT energy (no corrections): -10.818 eV per atom
- DOS(E_F): 4.259 states/eV per cell

a b c (Å): 4.3760 4.3760 4.3760
angles (deg): 60.00 60.00 60.00
Fractional positions:
W1 0.7500 0.7500 0.7500
W2 0.2500 0.2500 0.2500
Ni1 0.0000 0.0000 0.0000
Re1 0.5000 0.5000 0.5000



Below is a relaxed Ag2Hg crystal, with properties calculated at the PBE-GGA level.

- Calculated formation energy: 206.4 meV/atom
- Total DFT energy (no corrections): -1.795 eV per atom
- DOS(E_F): 1.433 states/eV per cell

a b c (Å): 5.4813 5.4813 5.4813
angles (deg): 105.93 105.93 116.81
Fractional positions:
Ag1 0.1485 0.3515 0.5000
Ag2 0.8515 0.6485 0.5000
Ag3 0.6485 0.1485 0.7970
Ag4 0.3515 0.8515 0.2030
Hg1 0.7500 0.7500 0.0000
Hg2 0.2500 0.2500 0.0000



Below is a relaxed NaHfIn crystal, with properties calculated at the PBE-GGA level.

- Calculated formation energy: 35.6 meV/atom
- Total DFT energy (no corrections): -4.635 eV per atom
- DOS(E_F): 3.310 states/eV per cell

a b c (Å): 5.3849 3.1500 9.1611
angles (deg): 99.58 79.80 106.58
Fractional positions:
In1 0.7712 0.0012 0.7285
In2 0.2288 0.9988 0.2715
Na1 0.2650 0.3426 0.9200
Na2 0.7350 0.6574 0.0800
Hf1 0.7321 0.3290 0.4281
Hf2 0.2679 0.6710 0.5719



Below is a relaxed AcHgO crystal, with properties calculated at the PBE-GGA level.

- Total DFT energy (no corrections): -4.918 eV per atom
- DOS(E_F): 1.562 states/eV per cell

a b c (Å): 4.1542 4.1542 5.5999
angles (deg): 90.00 90.00 120.00
Fractional positions:
O1 0.3333 0.6667 0.4999
Hg1 0.0000 0.0000 0.0001
Ac1 0.6667 0.3333 0.5000



Below is a relaxed K2TmSi2O6 crystal, with properties calculated at the PBE-GGA level.

- Total DFT energy (no corrections): -6.877 eV per atom
- DOS(E_F): 0.032 states/eV per cell

a b c (Å): 5.8249 5.8258 6.7648
angles (deg): 115.55 90.00 120.00
Each line ends with the local moment (μB).
Fractional positions:
Si1 0.0724 0.1449 0.2190  0.08
Si2 0.9276 0.8551 0.7810  0.08
O1 0.7532 0.9779 0.7289  0.06
O2 0.2246 0.9779 0.7289  0.06
O3 0.2475 0.4951 0.2734  0.06
O4 0.2468 0.0221 0.2711  0.06
O5 0.7754 0.0221 0.2711  0.06
O6 0.7525 0.5049 0.7266  0.06
Tm1 0.5000 0.0000 0.5000  0.08
K1 0.2858 0.5716 0.8562  0.00
K2 0.7142 0.4284 0.1438  0.00



Below is a relaxed SiGe2Rh8 crystal, with properties calculated at the PBE-GGA level.

- Total DFT energy (no corrections): -6.994 eV per atom
- DOS(E_F): 12.225 states/eV per cell

a b c (Å): 4.0291 6.8439 6.9739
angles (deg): 119.39 106.79 90.00
Fractional positions:
Rh1 0.3419 0.1152 0.6838
Rh2 0.6581 0.4314 0.3162
Rh3 0.1356 0.1356 0.2711
Rh4 0.6581 0.8848 0.3162
Rh5 0.3419 0.5686 0.6838
Rh6 0.0000 0.6878 0.0000
Rh7 0.0000 0.3122 0.0000
Rh8 0.8644 0.8644 0.7289
Ge1 0.1943 0.6944 0.3887
Ge2 0.8057 0.3056 0.6113
Si1 0.5000 0.0000 0.0000